[1]
Computed, not measured: an optimized crystal structure of FeAsSeI2 at the GGA-PBE level of DFT.

abc: 5.8699 4.6253 5.8699
angles: 90.00 90.00 90.00
With the nearest neighbours (Å) after each atom.
Positions (direct):
1 I 0.5000 0.0000 0.0000  2 As 2.93
2 I 0.0000 0.0000 0.5000  2 As 2.93
3 Se 0.5000 0.5000 0.5000  8 I 3.74, 4 Fe 4.15
4 Fe 0.0000 0.5000 0.0000  2 As 2.31
5 As 0.0000 0.0000 0.0000  2 Fe 2.31

Output
Total energy   -3.186 eV per atom
ΔE_f (raw)   0.75 eV per atom

***

[2]
Computed, not measured: an optimized crystal structure of Cs2KZn2 at the GGA-PBE level of DFT.

abc: 9.5799 9.5799 5.7387
angles: 90.00 90.00 90.00
With the nearest neighbours (Å) after each atom.
Positions (direct):
1 Cs 0.3219 0.1781 0.5000  6 Zn 3.98-4.17
2 Cs 0.8219 0.3219 0.5000  6 Zn 3.98-4.17
3 Cs 0.1781 0.6781 0.5000  6 Zn 3.98-4.17
4 Cs 0.6781 0.8219 0.5000  6 Zn 3.98-4.17
5 Zn 0.5988 0.0988 0.0000  1 Zn 2.68
6 Zn 0.0988 0.4012 0.0000  1 Zn 2.68
7 Zn 0.4012 0.9012 0.0000  1 Zn 2.68
8 Zn 0.9012 0.5988 0.0000  1 Zn 2.68
9 K 0.5000 0.5000 0.0000  4 Zn 3.96
10 K 0.0000 0.0000 0.0000  4 Zn 3.96

Output
Total energy   -0.942 eV per atom
DFT formation energy   0.64 eV per formula unit
ΔE to the lowest computed polymorph   0.000 eV/atom

***

[3]
Computed, not measured: an optimized crystal structure of BaAs2 at the GGA-PBE level of DFT.

abc: 5.9514 5.9514 7.3701
angles: 79.82 79.82 48.44
With the nearest neighbours (Å) after each atom.
Positions (direct):
1 As 0.8830 0.8830 0.1179  3 As 2.55-2.75
2 As 0.6706 0.6706 0.3376  3 As 2.50-2.55
3 As 0.6350 0.6350 0.6830  1 As 2.50
4 As 0.4820 0.4820 0.1821  3 As 2.53-2.75
5 Ba 0.1991 0.1991 0.9728  10 As 3.39-3.69
6 Ba 0.9636 0.9636 0.5400  8 As 3.36-3.57

Output
Total energy   -4.422 eV per atom
DFT formation energy   -2.04 eV per formula unit

***

[4]
Computed, not measured: an optimized crystal structure of Lu2CuC at the GGA-PBE level of DFT.

abc: 3.5627 3.5627 6.9542
angles: 75.16 75.16 60.00
With the nearest neighbours (Å) after each atom.
Positions (direct):
1 C 0.5000 0.5000 0.5000  6 Lu 2.43
2 Lu 0.2313 0.2313 0.3061  3 C 2.43
3 Lu 0.7687 0.7687 0.6939  3 C 2.43
4 Cu 0.0000 0.0000 0.0000  6 Lu 2.89

Output
Total energy   -5.833 eV per atom
DFT formation energy   -0.97 eV per formula unit

***

[5]
Computed, not measured: an optimized crystal structure of Nd2Sm3Si2 at the GGA-PBE level of DFT.

abc: 4.2611 6.3341 8.7100
angles: 103.37 104.16 109.66
With the nearest neighbours (Å) after each atom.
Positions (direct):
1 Nd 0.3438 0.4951 0.1924  3 Si 3.04-3.31
2 Nd 0.6562 0.5049 0.8076  3 Si 3.04-3.31
3 Sm 0.1894 0.8204 0.5585  3 Si 3.08-3.09, 2 Sm 3.40
4 Sm 0.5000 0.0000 0.0000  4 Si 3.02
5 Sm 0.8106 0.1796 0.4415  3 Si 3.08-3.09, 2 Sm 3.40
6 Si 0.0350 0.8650 0.2050  5 Sm 3.02-3.09, 3 Nd 3.04-3.31
7 Si 0.9650 0.1350 0.7950  5 Sm 3.02-3.09, 3 Nd 3.04-3.31

Output
Total energy   -5.361 eV per atom
ΔE_f (raw)   -0.43 eV per atom

***

[6]
Computed, not measured: an optimized crystal structure of MoPt2Pb at the GGA-PBE level of DFT.

abc: 3.2730 3.2730 6.8424
angles: 90.00 90.00 90.00
With the nearest neighbours (Å) after each atom.
Positions (direct):
1 Pt 0.5000 0.5000 0.2603  4 Mo 2.66, 4 Pt 2.81
2 Pt 0.0000 0.0000 0.0282  4 Pt 2.81, 1 Mo 2.90, 4 Pb 2.95
3 Mo 0.0000 0.0000 0.4514  5 Pt 2.66-2.90
4 Pb 0.5000 0.5000 0.7601  4 Pt 2.95, 4 Mo 3.13, 4 Pb 3.27

Output
Total energy   -6.481 eV per atom
DFT formation energy   0.70 eV per formula unit

***

[7]
Computed, not measured: an optimized crystal structure of RbMo3Pt at the GGA-PBE level of DFT.

abc: 4.5969 4.5969 4.5969
angles: 90.00 90.00 90.00
With the nearest neighbours (Å) after each atom.
Positions (direct):
1 Mo 0.5000 0.0000 0.0000  2 Rb 2.30
2 Mo 0.0000 0.5000 0.0000  2 Rb 2.30
3 Mo 0.0000 0.0000 0.5000  2 Rb 2.30
4 Rb 0.0000 0.0000 0.0000  6 Mo 2.30
5 Pt 0.5000 0.5000 0.5000  12 Mo 3.25

Output
Total energy   -4.775 eV per atom
DFT formation energy   15.63 eV per formula unit
ΔE to the lowest computed polymorph   1.255 eV/atom

***

[8]
Computed, not measured: an optimized crystal structure of TbPr6DyEr2 at the GGA-PBE level of DFT.

abc: 9.7032 8.9915 8.9915
angles: 117.52 93.95 93.95
With the nearest neighbours (Å) after each atom.
Positions (direct):
1 Pr 0.0543 0.1136 0.7626  7 Pr 3.47-3.82, 1 Er 3.50, 2 Tb 3.67-3.82
2 Pr 0.1878 0.5631 0.0073  2 Pr 3.32-3.68, 1 Dy 3.47, 1 Er 3.51, 1 Tb 3.59
3 Pr 0.9457 0.8864 0.2374  7 Pr 3.47-3.82, 1 Er 3.50, 2 Tb 3.67-3.82
4 Pr 0.1179 0.7056 0.4886  4 Pr 3.32-3.71, 3 Er 3.32-3.51, 2 Dy 3.46-3.58
5 Pr 0.8821 0.2944 0.5114  4 Pr 3.32-3.71, 3 Er 3.32-3.51, 2 Dy 3.46-3.58
6 Pr 0.4457 0.2374 0.8864  7 Pr 3.47-3.82, 1 Er 3.50, 2 Tb 3.67-3.82
7 Pr 0.6179 0.4886 0.7056  4 Pr 3.32-3.71, 3 Er 3.32-3.51, 2 Dy 3.46-3.58
8 Pr 0.3122 0.9927 0.4369  2 Pr 3.32-3.68, 1 Dy 3.47, 1 Er 3.51, 1 Tb 3.59
9 Pr 0.8122 0.4369 0.9927  2 Pr 3.32-3.68, 1 Dy 3.47, 1 Er 3.51, 1 Tb 3.59
10 Pr 0.6878 0.0073 0.5631  2 Pr 3.32-3.68, 1 Dy 3.47, 1 Er 3.51, 1 Tb 3.59
11 Pr 0.5543 0.7626 0.1136  7 Pr 3.47-3.82, 1 Er 3.50, 2 Tb 3.67-3.82
12 Pr 0.3821 0.5114 0.2944  4 Pr 3.32-3.71, 3 Er 3.32-3.51, 2 Dy 3.46-3.58
13 Tb 0.7500 0.0287 0.9713  4 Er 3.43-3.46, 6 Pr 3.59-3.82
14 Tb 0.2500 0.9713 0.0287  4 Er 3.43-3.46, 6 Pr 3.59-3.82
15 Dy 0.2500 0.4112 0.5888  6 Pr 3.46-3.58, 2 Er 3.55
16 Dy 0.7500 0.5888 0.4112  6 Pr 3.46-3.58, 2 Er 3.55
17 Er 0.4529 0.8001 0.7047  5 Pr 3.32-3.51, 2 Tb 3.43-3.46, 1 Dy 3.55
18 Er 0.5471 0.1999 0.2953  5 Pr 3.32-3.51, 2 Tb 3.43-3.46, 1 Dy 3.55
19 Er 0.0471 0.2953 0.1999  5 Pr 3.32-3.51, 2 Tb 3.43-3.46, 1 Dy 3.55
20 Er 0.9529 0.7047 0.8001  5 Pr 3.32-3.51, 2 Tb 3.43-3.46, 1 Dy 3.55

Output
Total energy   -4.588 eV per atom
DFT formation energy   1.15 eV per formula unit

***

[9]
Computed, not measured: an optimized crystal structure of RbInGe at the GGA-PBE level of DFT.

abc: 13.5439 8.0863 8.0863
angles: 150.67 146.78 33.22
With the nearest neighbours (Å) after each atom.
Positions (direct):
1 Rb 0.2100 0.8318 0.1682  2 Ge 3.62, 3 In 3.83-3.97
2 Rb 0.5520 0.8195 0.1805  3 Ge 3.66-3.74, 4 In 3.73-3.78, 2 Rb 4.09
3 In 0.0904 0.6322 0.3678  3 Ge 2.99-3.00, 2 In 3.16
4 In 0.7457 0.3554 0.6446  3 Ge 2.98-3.00, 2 In 3.16
5 Ge 0.7209 0.0134 0.9866  2 Ge 2.68, 3 In 3.00
6 Ge 0.9696 0.3517 0.6483  2 Ge 2.68, 3 In 2.98-2.99

Output
Total energy   -2.828 eV per atom
DFT formation energy   -0.16 eV per formula unit

***

[10]
Computed, not measured: an optimized crystal structure of La2PrEr8 at the GGA-PBE level of DFT.

abc: 5.5259 8.1236 9.4259
angles: 115.52 107.05 90.00
With the nearest neighbours (Å) after each atom.
Positions (direct):
1 La 0.2005 0.7004 0.4011  10 Er 3.39-3.64
2 La 0.7995 0.2996 0.5989  10 Er 3.39-3.64
3 Er 0.1602 0.1604 0.3204  8 Er 3.51-3.67, 2 La 3.56, 2 Pr 3.78
4 Er 0.8398 0.8396 0.6796  8 Er 3.51-3.67, 2 La 3.56, 2 Pr 3.78
5 Er 0.6369 0.8435 0.2738  1 Pr 3.25, 3 Er 3.35-3.53, 3 La 3.39-3.54
6 Er 0.0001 0.7071 0.0001  7 Er 3.36-3.53, 2 La 3.64, 2 Pr 3.65
7 Er 0.3633 0.5696 0.7265  1 Pr 3.25, 3 Er 3.35-3.53, 3 La 3.39-3.54
8 Er 0.9999 0.2929 0.9999  7 Er 3.36-3.53, 2 La 3.64, 2 Pr 3.65
9 Er 0.6367 0.4304 0.2735  1 Pr 3.25, 3 Er 3.35-3.53, 3 La 3.39-3.54
10 Er 0.3631 0.1565 0.7262  1 Pr 3.25, 3 Er 3.35-3.53, 3 La 3.39-3.54
11 Pr 0.5000 0.0000 0.0000  4 Er 3.25

Output
Total energy   -4.528 eV per atom
DFT formation energy   1.33 eV per formula unit
ΔE to the lowest computed polymorph   0.086 eV/atom

***

[11]
Computed, not measured: an optimized crystal structure of CsTcAu2I at the GGA-PBE level of DFT.

abc: 5.8421 7.2757 5.8421
angles: 90.00 90.00 90.00
With the nearest neighbours (Å) after each atom.
Positions (direct):
1 Au 0.5000 0.0000 0.0000  2 Cs 2.92
2 Au 0.0000 0.0000 0.5000  2 Cs 2.92
3 Cs 0.0000 0.0000 0.0000  4 Au 2.92
4 Tc 0.0000 0.5000 0.0000  2 Cs 3.64
5 I 0.5000 0.5000 0.5000  4 Tc 4.13

Output
Total energy   -2.095 eV per atom
ΔE_f (raw)   1.77 eV per atom